A relaxed structure of Cs3Nd3MoO8. Source: Alexandria, functional PBE with a Hubbard U.

abc: 7.178 7.178 8.106
angles: 116.21 116.21 59.45
Positions (direct):
Cs1 0.000 0.000 0.000
Cs2 0.000 0.500 0.000
Cs3 0.500 0.000 0.000
Nd1 0.000 0.500 0.500
Nd2 0.500 0.000 0.500
Nd3 0.500 0.500 0.500
Mo1 0.000 0.000 0.500
O1 0.199 0.756 0.655
O2 0.207 0.207 0.659
O3 0.244 0.801 0.345
O4 0.279 0.279 0.333
O5 0.721 0.721 0.667
O6 0.756 0.199 0.655
O7 0.793 0.793 0.341
O8 0.801 0.244 0.345

Summary:
DOS at the Fermi energy	0.0	states/eV/f.u.
energy	-6.603	eV per atom